Compound: TiMnNbRu
Source: Alexandria via LeMat-Bulk
Functional: PBE-GGA
Structure: optimized geometry

Values from the calculation:
Polymorph energy (0 for the lowest one), eV/atom: 0.021
Volume, Å³/cell: 58.6
ΔH_f (0 K), eV per atom: -0.3764
VASP energy, eV per cell: -37.92

```
TiMnNbRu
1.0
0.0000 3.0833 3.0833
3.0833 0.0000 3.0833
3.0833 3.0833 0.0000
Ti Mn Nb Ru
1 1 1 1
Cartesian
0.0000 0.0000 0.0000 Ti
1.5417 1.5417 1.5417 Mn
3.0833 3.0833 3.0833 Nb
4.6250 4.6250 4.6250 Ru
```